# 1
A plane-wave DFT calculation with PBE-GGA was carried out for a relaxed Y12CoSn6 crystal.

The structure in extended XYZ format:
```
19
Lattice="8.6021 -0.0415 -0.0497 -1.3451 8.4964 -0.0497 -1.3451 -1.5671 8.3507" Properties=species:S:1:pos:R:3 pbc="T T T"
Y 4.6709 7.9516 0.0693
Y -2.0452 4.4118 7.8360
Sn 4.8861 2.3932 0.9709
Y 3.2608 2.4459 6.6747
Y -1.2397 7.8600 2.5103
Y 1.2410 -1.0639 8.1821
Sn 6.1311 1.9782 5.7232
Y 7.9571 2.4759 0.4154
Sn 4.2871 6.8603 2.9690
Y 7.1516 -0.9723 5.7411
Sn 1.0258 4.4945 7.2804
Sn -0.2192 4.9096 2.5282
Y 0.3469 2.7353 4.6521
Y 1.9233 5.9250 4.7288
Y 3.9886 0.9628 3.5225
Co 0.0000 0.0000 0.0000
Y 5.5649 4.1525 3.5993
Sn 1.6248 0.0274 5.2824
Y 2.6510 4.4418 1.5767
```

Results
- SG = R-3
- ρ (g/cm³) = 5.0
- calculated formation energy (eV/atom) = -0.4099
- crystal system = trigonal


# 2
A plane-wave DFT calculation with PBE-GGA was carried out for a relaxed La3Pr3Nd4 crystal.

The structure in extended XYZ format:
```
10
Lattice="-3.7601 0.5594 -0.4668 0.3547 -4.7824 -8.5880 -1.8361 -8.4896 4.6158" Properties=species:S:1:pos:R:3 pbc="T T T"
Pr -2.8760 -8.6425 -2.9031
Pr -1.9022 -5.1405 -6.5498
La 0.1761 -2.4080 -4.3039
Pr -2.3657 -4.0704 -1.5347
Nd -1.2949 -11.5934 -3.4624
Nd -1.0173 -7.1041 -0.3190
La -3.3380 -7.5700 2.1034
Nd -0.1887 -1.6824 -0.4961
Nd -0.4643 -6.1684 -3.6515
La -0.5605 -9.0079 -6.2792
```

Results
- SG = Amm2
- ρ (g/cm³) = 6.3
- calculated formation energy (eV/atom) = 0.0929
- crystal system = orthorhombic


# 3
A plane-wave DFT calculation with PBE-GGA was carried out for a relaxed TbNd5Cd4 crystal.

The structure in extended XYZ format:
```
10
Lattice="-3.4235 -0.2371 1.6376 0.4805 -3.7435 0.4627 8.5721 3.3758 18.4092" Properties=species:S:1:pos:R:3 pbc="T T T"
Nd -0.4619 -1.5927 3.2182
Nd 2.8146 -0.3024 10.2548
Cd 3.4667 1.3652 7.4449
Cd 6.7531 2.6594 14.5027
Cd 1.8190 0.7164 3.9065
Cd 5.1054 2.0106 10.9643
Nd 6.0911 0.9880 17.2913
Nd 1.1817 -0.9454 6.7481
Tb 0.0000 0.0000 0.0000
Nd 4.4474 0.3407 13.7614
```

Results
- SG = P4/mmm
- ρ (g/cm³) = 7.4
- calculated formation energy (eV/atom) = -0.2420
- crystal system = tetragonal


> Which of these has the lowest ρ?

Y12CoSn6


> What is the formula in the second record?

La3Pr3Nd4


> What is the ρ in the second record?

6.3 g/cm³


> Look up the calculated formation energy of the third one.

-0.2420 eV/atom